The following is a PBE calculation of a geometry-optimized PrYSb2 structure, from OQMD.

Properties
Total energy   -6.03 eV/atom
Calculated volume   31.72 Å³/atom
Theoretical density   6.20 g cm⁻³

a b c (Å): 4.4767 4.4767 6.3308
angles (deg): 90.00 90.00 90.00
Positions (direct):
Pr 0.0000 0.0000 0.0000
Sb 0.5000 0.5000 0.0000
Sb 0.0000 0.0000 0.5000
Y 0.5000 0.5000 0.5000